No. 1
Entry from Alexandria: an optimized crystal structure of TaCd3P (PBE).

a b c (Å): 5.3731 5.3731 5.3731
angles (deg): 90.00 90.00 90.00
Fractional coordinates of all 5 atoms:
P  0.5000  0.5000  0.5000
Cd  0.0000  0.5000  0.0000
Cd  0.0000  0.0000  0.5000
Cd  0.5000  0.0000  0.0000
Ta  0.0000  0.0000  0.0000

Properties
Magnetization ... 0.00 μB per formula unit
Polymorph energy (0 for the lowest one) ... 353 meV per atom
Crystal system ... cubic
D(E_F) ... 2.60 states/eV/f.u.


No. 2
Entry from Alexandria: an optimized crystal structure of NpGa2P2Pt7 (PBE).

a b c (Å): 3.9285 3.9285 14.4984
angles (deg): 85.79 85.79 90.18
Fractional coordinates of all 12 atoms:
Np  0.0000  0.0000  0.0000
Ga  0.8687  0.8687  0.4249
Ga  0.1313  0.1313  0.5751
P  0.5714  0.5714  0.7464
P  0.4286  0.4286  0.2536
Pt  0.5000  0.5000  0.0000
Pt  0.4078  0.4078  0.4105
Pt  0.5922  0.5922  0.5895
Pt  0.9539  0.4544  0.1601
Pt  0.4544  0.9539  0.1601
Pt  0.5456  0.0461  0.8399
Pt  0.0461  0.5456  0.8399

Properties
Magnetization ... 3.35 μB per formula unit
Crystal system ... monoclinic
E ... -77.8 eV per formula unit
D(E_F) ... 12.89 states/eV/f.u.